Below is crystalline PmNd4Ga4 at its relaxed geometry, with properties calculated at the GGA-PBE level.

The structure in POSCAR format:
```
PmNd4Ga4
1.0
-5.170 5.170 2.434
5.170 -5.170 2.434
5.170 5.170 -2.434
Pm Nd Ga
1 4 4
Direct
0.000 0.000 0.000
0.134 0.646 0.779
0.354 0.134 0.488
0.646 0.866 0.512
0.866 0.354 0.221
0.331 0.429 0.760
0.429 0.669 0.099
0.571 0.331 0.901
0.669 0.571 0.240
```

Computed properties:
- E (Ry per atom) = -0.3223
- ΔH_f (0 K) (eV/f.u.) = -3.54

=====

Below is crystalline TaFeHOs2 at its relaxed geometry, with properties calculated at the GGA-PBE level.

The structure in POSCAR format:
```
TaFeHOs2
1.0
3.940 0.000 0.000
0.000 3.940 0.000
0.000 0.000 3.834
Ta Fe H Os
1 1 1 2
Direct
0.000 0.000 0.000
0.500 0.500 0.000
0.500 0.500 0.500
0.000 0.500 0.500
0.500 0.000 0.500
```

Computed properties:
- E (Ry per atom) = -0.6831
- E above lowest polymorph (meV/atom) = 0.0

=====

Below is crystalline K3NaAu2 at its relaxed geometry, with properties calculated at the GGA-PBE level.

The structure in POSCAR format:
```
K3NaAu2
1.0
4.436 2.561 7.195
-4.436 2.561 7.195
0.000 -5.122 7.195
K Na Au
6 2 4
Direct
0.024 0.750 0.476
0.250 0.524 0.976
0.476 0.024 0.750
0.524 0.976 0.250
0.750 0.476 0.024
0.976 0.250 0.524
0.000 0.000 0.000
0.500 0.500 0.500
0.138 0.138 0.138
0.362 0.362 0.362
0.638 0.638 0.638
0.862 0.862 0.862
```

Computed properties:
- E (Ry per atom) = -0.1477
- ΔH_f (0 K) (eV/f.u.) = -0.89
- E above lowest polymorph (meV/atom) = 68.6

=====

Below is crystalline Li2TbSc at its relaxed geometry, with properties calculated at the GGA-PBE level.

The structure in POSCAR format:
```
Li2TbSc
1.0
0.000 3.604 3.604
3.604 0.000 3.604
3.604 3.604 0.000
Li Tb Sc
2 1 1
Direct
0.250 0.250 0.250
0.750 0.750 0.750
0.000 0.000 0.000
0.500 0.500 0.500
```

Computed properties:
- E (Ry per atom) = -0.2579
- ΔH_f (0 K) (eV/f.u.) = 0.76
- E above lowest polymorph (meV/atom) = 1.9

=====

Below is crystalline Sm3Cu2Ni at its relaxed geometry, with properties calculated at the GGA-PBE level.

The structure in POSCAR format:
```
Sm3Cu2Ni
1.0
11.633 0.000 0.000
0.000 4.309 0.000
0.000 0.000 10.897
Sm Cu Ni
12 8 4
Direct
0.053 0.250 0.125
0.112 0.750 0.561
0.225 0.250 0.798
0.275 0.750 0.298
0.388 0.250 0.061
0.447 0.750 0.625
0.553 0.250 0.375
0.612 0.750 0.939
0.725 0.250 0.702
0.775 0.750 0.202
0.888 0.250 0.439
0.947 0.750 0.875
0.019 0.750 0.309
0.202 0.750 0.003
0.298 0.250 0.503
0.481 0.250 0.809
0.519 0.750 0.191
0.702 0.750 0.497
0.798 0.250 0.997
0.981 0.250 0.691
0.123 0.250 0.372
0.377 0.750 0.872
0.623 0.250 0.128
0.877 0.750 0.628
```

Computed properties:
- E (Ry per atom) = -0.3612
- ΔH_f (0 K) (eV/f.u.) = -1.35

=====

Below is crystalline Rb2SnCl5 at its relaxed geometry, with properties calculated at the GGA-PBE level.

The structure in POSCAR format:
```
Rb2SnCl5
1.0
5.395 0.000 0.000
2.696 7.679 0.000
2.633 3.046 7.899
Rb Sn Cl
2 1 5
Direct
0.188 0.356 0.274
0.812 0.644 0.726
0.000 0.000 0.000
0.038 0.231 0.686
0.193 0.713 0.899
0.500 0.000 0.000
0.807 0.287 0.101
0.962 0.769 0.314
```

Computed properties:
- E (Ry per atom) = -0.2451
- E above lowest polymorph (meV/atom) = 0.0

=====

Below is crystalline Tm4BiPd2 at its relaxed geometry, with properties calculated at the GGA-PBE level.

The structure in POSCAR format:
```
Tm4BiPd2
1.0
2.262 1.306 10.698
-2.262 1.306 10.698
0.000 -2.612 10.698
Tm Bi Pd
4 1 2
Direct
0.110 0.110 0.110
0.301 0.301 0.301
0.699 0.699 0.699
0.890 0.890 0.890
0.500 0.500 0.500
0.397 0.397 0.397
0.603 0.603 0.603
```

Computed properties:
- E (Ry per atom) = -0.3841
- ΔH_f (0 K) (eV/f.u.) = -4.43

=====

Below is crystalline HfNbV2Cu at its relaxed geometry, with properties calculated at the GGA-PBE level.

The structure in POSCAR format:
```
HfNbV2Cu
1.0
4.394 0.000 0.000
0.000 4.394 0.000
0.000 0.000 4.825
Hf Nb V Cu
1 1 2 1
Direct
0.000 0.000 0.000
0.500 0.500 0.000
0.000 0.500 0.500
0.500 0.000 0.500
0.000 0.000 0.500
```

Computed properties:
- E (Ry per atom) = -0.5444
- ΔH_f (0 K) (eV/f.u.) = 5.32